[1]
This record from the Alexandria database describes a PBEsol-optimized structure of LiTi2VO6. The functional is SCAN.

Lattice parameters (Å, degrees): 9.983 8.678 5.295 90.00 101.55 90.00
Space group P2_1/c (No. 14)
Symmetry-distinct sites (fractional):
Li: 0.244 0.026 0.432
Ti: 0.053 0.153 0.824
Ti: 0.476 0.144 0.162
V: 0.242 0.674 0.417
O: 0.119 0.181 0.166
O: 0.127 0.516 0.223
O: 0.136 0.657 0.707
O: 0.343 0.661 0.133
O: 0.391 0.541 0.582
O: 0.402 0.199 0.444

Values from the calculation:
DOS at the Fermi energy, states/eV/cell: 1.8
DFT total energy, eV/atom: -11.87

[2]
This record from the Alexandria database describes a PBEsol-optimized structure of MnBeSi2. The functional is SCAN.

Lattice parameters (Å, degrees): 3.461 3.700 7.022 90.00 90.00 90.00
Space group Cmmm (No. 65)
Symmetry-distinct sites (fractional):
Mn: 0.000 0.000 0.000
Be: 0.000 0.000 0.500
Si: 0.000 0.500 0.246

Values from the calculation:
DOS at the Fermi energy, states/eV/cell: 3.4
DFT total energy, eV/atom: -10.56

[3]
This record from the Alexandria database describes a PBEsol-optimized structure of SiSb2As. The functional is SCAN.

Lattice parameters (Å, degrees): 3.969 5.649 8.112 90.00 90.00 90.00
Space group Amm2 (No. 38)
Symmetry-distinct sites (fractional):
Si: 0.000 0.000 0.000
Sb: 0.000 0.000 0.524
Sb: 0.500 0.000 0.248
As: 0.500 0.000 0.795

Values from the calculation:
DOS at the Fermi energy, states/eV/cell: 3.2
DFT total energy, eV/atom: -25.97

[4]
This record from the Alexandria database describes a PBEsol-optimized structure of SrCa3. The functional is SCAN.

Lattice parameters (Å, degrees): 3.9287 3.9287 12.9672 90.00 90.00 120.00
Space group P-6m2 (No. 187)
Symmetry-distinct sites (fractional):
Sr: 0.0000 0.0000 0.0000
Ca: 0.0000 0.0000 0.5000
Ca: 0.6667 0.3333 0.2572

Values from the calculation:
DOS at the Fermi energy, states/eV/cell: 4.1
Energy of formation, eV per formula unit: 0.092
DFT total energy, eV/atom: -12.79

[5]
This record from the Alexandria database describes a PBEsol-optimized structure of Ca2ScPb. The functional is SCAN.

Lattice parameters (Å, degrees): 3.5541 3.5541 33.1845 90.00 90.00 120.00
Space group R-3m (No. 166, hexagonal axes)
Symmetry-distinct sites (fractional):
Ca: 0.0000 0.0000 0.2461
Sc: 0.0000 0.0000 0.0000
Pb: 0.0000 0.0000 0.5000

Values from the calculation:
DOS at the Fermi energy, states/eV/cell: 14.1
Energy of formation, eV per formula unit: -0.452
DFT total energy, eV/atom: -27.45

[6]
This record from the Alexandria database describes a PBEsol-optimized structure of Sm8Sb3O8. The functional is SCAN.

Lattice parameters (Å, degrees): 13.492 3.835 15.177 90.00 107.31 90.00
Space group C2/m (No. 12)
Symmetry-distinct sites (fractional):
Sm: 0.044 0.000 0.330
Sm: 0.120 0.500 0.153
Sm: 0.145 0.000 0.928
Sm: 0.218 0.000 0.588
Sb: 0.000 0.500 0.500
Sb: 0.174 0.500 0.766
O: 0.028 0.000 0.139
O: 0.118 0.500 0.300
O: 0.163 0.500 0.012
O: 0.203 0.000 0.434

Values from the calculation:
DOS at the Fermi energy, states/eV/cell: 3.4
DFT total energy, eV/atom: -30.24

Please write out number 5 again, unchanged.
This record from the Alexandria database describes a PBEsol-optimized structure of Ca2ScPb. The functional is SCAN.

Lattice parameters (Å, degrees): 3.5541 3.5541 33.1845 90.00 90.00 120.00
Space group R-3m (No. 166, hexagonal axes)
Symmetry-distinct sites (fractional):
Ca: 0.0000 0.0000 0.2461
Sc: 0.0000 0.0000 0.0000
Pb: 0.0000 0.0000 0.5000

Values from the calculation:
DOS at the Fermi energy, states/eV/cell: 14.1
Energy of formation, eV per formula unit: -0.452
DFT total energy, eV/atom: -27.45

Q: The lowest DFT total energy belongs to which entry?
A: Sm8Sb3O8